[1]
VASP calculation (PBE) on crystalline K2SbSe at its relaxed geometry.

Results
Its raw formation energy is -267 meV per atom.

Unit cell a=8.0890 b=8.0890 c=8.0890 alpha=90.00 beta=90.00 gamma=90.00
Space group Fm-3m (No. 225)
One atom of each set of equivalent atoms:
K (0.2500, 0.2500, 0.2500) x8
Sb (0.0000, 0.0000, 0.0000) x4
Se (0.0000, 0.0000, 0.5000) x4

---

[2]
VASP calculation (PBE) on crystalline SrGePO2 at its relaxed geometry.

Results
Its raw formation energy is 168 meV per atom.

Unit cell a=4.4059 b=4.4059 c=6.2170 alpha=90.00 beta=90.00 gamma=90.00
Space group P4/mmm (No. 123)
One atom of each set of equivalent atoms:
Sr (0.0000, 0.0000, 0.0000) x1
Ge (0.5000, 0.5000, 0.5000) x1
P (0.0000, 0.0000, 0.5000) x1
O (0.0000, 0.5000, 0.0000) x2

---

[3]
VASP calculation (PBE) on crystalline PrHo6Er4 at its relaxed geometry.

Results
The formation energy comes out at 124 meV/atom.

Unit cell a=5.6439 b=9.6380 c=25.5749 alpha=90.00 beta=90.00 gamma=90.00
Space group Cmcm (No. 63)
One atom of each set of equivalent atoms:
Pr (0.0000, 0.1786, 0.2500) x4
Ho (0.0000, 0.1531, 0.6801) x8
Ho (0.0000, 0.1794, 0.1011) x8
Ho (0.0000, 0.4873, 0.7500) x4
Ho (0.0000, 0.5000, 0.0000) x4
Er (0.0000, 0.1618, 0.5416) x8
Er (0.0000, 0.4843, 0.6212) x8

---

| no. | E above lowest polymorph (meV/atom) | total energy (eV/atom) |
| --- | --- | --- |
| 1 | 250 | -2.718 |
| 2 | 1103 | -4.157 |
| 3 | 0 | -4.467 |